Entry 1:
A relaxed NbP2PbSe crystal. Source: the Alexandria database, functional PBEsol.

```
data_NbP2PbSe
_chemical_formula_sum 'Nb1 P2 Pb1 Se1'
_cell_length_a 4.679
_cell_length_b 4.679
_cell_length_c 5.745
_cell_angle_alpha 90.00
_cell_angle_beta 90.00
_cell_angle_gamma 90.00
_symmetry_space_group_name_H-M 'P 1'
_symmetry_Int_Tables_number 1
loop_
_symmetry_equiv_pos_as_xyz
'x,y,z'
loop_
_atom_site_label
_atom_site_type_symbol
_atom_site_fract_x
_atom_site_fract_y
_atom_site_fract_z
Pb1 Pb 0.000 0.000 0.500
P1 P 0.000 0.500 0.000
P2 P 0.500 0.000 0.000
Nb1 Nb 0.000 0.000 0.000
Se1 Se 0.500 0.500 0.500
```

Computed properties:
space group = P4/mmm, No. 123
uncorrected formation energy = 202 kJ/mol of formula units


Entry 2:
A relaxed KAuSe5 crystal. Source: the Alexandria database, functional PBEsol.

```
data_KAuSe5
_chemical_formula_sum 'K4 Au4 Se20'
_cell_length_a 8.887
_cell_length_b 10.765
_cell_length_c 10.765
_cell_angle_alpha 61.05
_cell_angle_beta 65.62
_cell_angle_gamma 65.62
_symmetry_space_group_name_H-M 'P 1'
_symmetry_Int_Tables_number 1
loop_
_symmetry_equiv_pos_as_xyz
'x,y,z'
loop_
_atom_site_label
_atom_site_type_symbol
_atom_site_fract_x
_atom_site_fract_y
_atom_site_fract_z
K1 K 0.500 0.500 0.500
K2 K 0.000 0.000 0.000
K3 K 0.750 0.750 0.750
K4 K 0.250 0.250 0.250
Au1 Au 0.250 0.618 0.882
Au2 Au 0.250 0.882 0.618
Au3 Au 0.750 0.382 0.118
Au4 Au 0.750 0.118 0.382
Se1 Se 0.445 0.219 0.471
Se2 Se 0.635 0.281 0.029
Se3 Se 0.055 0.029 0.281
Se4 Se 0.865 0.471 0.219
Se5 Se 0.555 0.781 0.529
Se6 Se 0.365 0.719 0.971
Se7 Se 0.945 0.971 0.719
Se8 Se 0.135 0.529 0.781
Se9 Se 0.626 0.953 0.283
Se10 Se 0.361 0.547 0.217
Se11 Se 0.874 0.217 0.547
Se12 Se 0.139 0.283 0.953
Se13 Se 0.374 0.047 0.717
Se14 Se 0.639 0.453 0.783
Se15 Se 0.126 0.783 0.453
Se16 Se 0.861 0.717 0.047
Se17 Se 0.091 0.631 0.369
Se18 Se 0.591 0.869 0.131
Se19 Se 0.409 0.131 0.869
Se20 Se 0.909 0.369 0.631
```

Computed properties:
space group = Ibam, No. 72
uncorrected formation energy = -196 kJ/mol of formula units


Entry 3:
A relaxed V2CrTe4 crystal. Source: the Alexandria database, functional PBEsol.

```
data_V2CrTe4
_chemical_formula_sum 'V2 Cr1 Te4'
_cell_length_a 3.866
_cell_length_b 6.818
_cell_length_c 7.039
_cell_angle_alpha 117.87
_cell_angle_beta 105.94
_cell_angle_gamma 90.00
_symmetry_space_group_name_H-M 'P 1'
_symmetry_Int_Tables_number 1
loop_
_symmetry_equiv_pos_as_xyz
'x,y,z'
loop_
_atom_site_label
_atom_site_type_symbol
_atom_site_fract_x
_atom_site_fract_y
_atom_site_fract_z
Cr1 Cr 0.254 0.279 0.507
Te1 Te 0.114 0.451 0.228
Te2 Te 0.887 0.547 0.773
Te3 Te 0.368 0.035 0.735
Te4 Te 0.631 0.964 0.262
V1 V 0.747 0.724 0.495
V2 V 0.000 0.001 0.000
```

Computed properties:
space group = Cm, No. 8
uncorrected formation energy = -152 kJ/mol of formula units


Entry 4:
A relaxed Y2Mo crystal. Source: the Alexandria database, functional PBEsol.

```
data_Y2Mo
_chemical_formula_sum 'Y4 Mo2'
_cell_length_a 3.563
_cell_length_b 5.130
_cell_length_c 8.231
_cell_angle_alpha 90.00
_cell_angle_beta 102.50
_cell_angle_gamma 90.00
_symmetry_space_group_name_H-M 'P 1'
_symmetry_Int_Tables_number 1
loop_
_symmetry_equiv_pos_as_xyz
'x,y,z'
loop_
_atom_site_label
_atom_site_type_symbol
_atom_site_fract_x
_atom_site_fract_y
_atom_site_fract_z
Mo1 Mo 0.943 0.000 0.887
Mo2 Mo 0.336 0.000 0.673
Y1 Y 0.666 0.000 0.332
Y2 Y 0.461 0.500 0.922
Y3 Y 0.803 0.500 0.607
Y4 Y 0.123 0.500 0.247
```

Computed properties:
ΔE_f = 0.352 eV per atom
energy above the most stable polymorph in this dataset = 0.0 meV/atom
space group = Amm2, No. 38


Entry 5:
A relaxed Na3CoF6 crystal. Source: the Alexandria database, functional PBEsol.

```
data_Na3CoF6
_chemical_formula_sum 'Na3 Co1 F6'
_cell_length_a 5.600
_cell_length_b 5.600
_cell_length_c 5.600
_cell_angle_alpha 60.00
_cell_angle_beta 60.00
_cell_angle_gamma 60.00
_symmetry_space_group_name_H-M 'P 1'
_symmetry_Int_Tables_number 1
loop_
_symmetry_equiv_pos_as_xyz
'x,y,z'
loop_
_atom_site_label
_atom_site_type_symbol
_atom_site_fract_x
_atom_site_fract_y
_atom_site_fract_z
Na1 Na 0.250 0.250 0.250
Na2 Na 0.750 0.750 0.750
Na3 Na 0.500 0.500 0.500
Co1 Co 0.000 0.000 0.000
F1 F 0.770 0.230 0.230
F2 F 0.230 0.770 0.770
F3 F 0.770 0.230 0.770
F4 F 0.230 0.770 0.230
F5 F 0.770 0.770 0.230
F6 F 0.230 0.230 0.770
```

Computed properties:
space group = Fm-3m, No. 225
uncorrected formation energy = -2279 kJ/mol of formula units


Entry 6:
A relaxed Sr3Te4O11 crystal. Source: the Alexandria database, functional PBEsol.

```
data_Sr3Te4O11
_chemical_formula_sum 'Sr6 Te8 O22'
_cell_length_a 7.486
_cell_length_b 9.143
_cell_length_c 9.553
_cell_angle_alpha 98.33
_cell_angle_beta 109.91
_cell_angle_gamma 102.12
_symmetry_space_group_name_H-M 'P 1'
_symmetry_Int_Tables_number 1
loop_
_symmetry_equiv_pos_as_xyz
'x,y,z'
loop_
_atom_site_label
_atom_site_type_symbol
_atom_site_fract_x
_atom_site_fract_y
_atom_site_fract_z
Sr1 Sr 0.475 0.336 0.325
Sr2 Sr 0.046 0.378 0.529
Sr3 Sr 0.487 0.821 0.826
Sr4 Sr 0.316 0.213 0.887
Sr5 Sr 0.874 0.768 0.591
Sr6 Sr 0.887 0.254 0.091
Te1 Te 0.091 0.922 0.005
Te2 Te 0.199 0.550 0.985
Te3 Te 0.630 0.986 0.249
Te4 Te 0.270 0.668 0.412
Te5 Te 0.732 0.605 0.167
Te6 Te 0.686 0.104 0.670
Te7 Te 0.676 0.485 0.747
Te8 Te 0.163 0.040 0.432
O1 O 0.737 0.198 0.338
O2 O 0.131 0.196 0.325
O3 O 0.387 0.532 0.519
O4 O 0.867 0.923 0.366
O5 O 0.699 0.988 0.080
O6 O 0.144 0.140 0.610
O7 O 0.786 0.481 0.597
O8 O 0.478 0.162 0.523
O9 O 0.884 0.428 0.894
O10 O 0.343 0.073 0.115
O11 O 0.575 0.109 0.819
O12 O 0.019 0.517 0.302
O13 O 0.762 0.700 0.826
O14 O 0.599 0.889 0.592
O15 O 0.191 0.751 0.565
O16 O 0.170 0.838 0.852
O17 O 0.975 0.058 0.898
O18 O 0.218 0.451 0.807
O19 O 0.230 0.393 0.091
O20 O 0.494 0.668 0.051
O21 O 0.624 0.393 0.077
O22 O 0.663 0.602 0.337
```

Computed properties:
space group = P1, No. 1
uncorrected formation energy = -3192 kJ/mol of formula units


Entry 7:
A relaxed La2CrPS crystal. Source: the Alexandria database, functional PBEsol.

```
data_La2CrPS
_chemical_formula_sum 'La2 Cr1 P1 S1'
_cell_length_a 4.207
_cell_length_b 5.411
_cell_length_c 5.411
_cell_angle_alpha 90.00
_cell_angle_beta 90.00
_cell_angle_gamma 90.00
_symmetry_space_group_name_H-M 'P 1'
_symmetry_Int_Tables_number 1
loop_
_symmetry_equiv_pos_as_xyz
'x,y,z'
loop_
_atom_site_label
_atom_site_type_symbol
_atom_site_fract_x
_atom_site_fract_y
_atom_site_fract_z
Cr1 Cr 0.500 0.000 0.000
S1 S 0.000 0.000 0.000
P1 P 0.500 0.500 0.500
La1 La 0.000 0.000 0.500
La2 La 0.000 0.500 0.000
```

Computed properties:
space group = P4/mmm, No. 123
uncorrected formation energy = -287 kJ/mol of formula units


Entry 8:
A relaxed LiCaIn2 crystal. Source: the Alexandria database, functional PBEsol.

```
data_LiCaIn2
_chemical_formula_sum 'Li1 Ca1 In2'
_cell_length_a 4.712
_cell_length_b 4.712
_cell_length_c 5.915
_cell_angle_alpha 66.52
_cell_angle_beta 66.52
_cell_angle_gamma 60.00
_symmetry_space_group_name_H-M 'P 1'
_symmetry_Int_Tables_number 1
loop_
_symmetry_equiv_pos_as_xyz
'x,y,z'
loop_
_atom_site_label
_atom_site_type_symbol
_atom_site_fract_x
_atom_site_fract_y
_atom_site_fract_z
Ca1 Ca 0.500 0.500 0.500
In1 In 0.289 0.289 0.134
In2 In 0.711 0.711 0.866
Li1 Li 0.000 0.000 0.000
```

Computed properties:
ΔE_f = -0.369 eV per atom
space group = R-3m, No. 166


Entry 9:
A relaxed MgBe3Ni crystal. Source: the Alexandria database, functional PBEsol.

```
data_MgBe3Ni
_chemical_formula_sum 'Mg1 Be3 Ni1'
_cell_length_a 3.988
_cell_length_b 3.988
_cell_length_c 3.988
_cell_angle_alpha 90.00
_cell_angle_beta 90.00
_cell_angle_gamma 90.00
_symmetry_space_group_name_H-M 'P 1'
_symmetry_Int_Tables_number 1
loop_
_symmetry_equiv_pos_as_xyz
'x,y,z'
loop_
_atom_site_label
_atom_site_type_symbol
_atom_site_fract_x
_atom_site_fract_y
_atom_site_fract_z
Ni1 Ni 0.000 0.000 0.000
Mg1 Mg 0.500 0.500 0.500
Be1 Be 0.000 0.500 0.000
Be2 Be 0.000 0.000 0.500
Be3 Be 0.500 0.000 0.000
```

Computed properties:
ΔE_f = 0.275 eV per atom
space group = Pm-3m, No. 221


Entry 10:
A relaxed CdTeAu2 crystal. Source: the Alexandria database, functional PBEsol.

```
data_CdTeAu2
_chemical_formula_sum 'Cd1 Te1 Au2'
_cell_length_a 4.871
_cell_length_b 4.871
_cell_length_c 4.871
_cell_angle_alpha 60.00
_cell_angle_beta 60.00
_cell_angle_gamma 60.00
_symmetry_space_group_name_H-M 'P 1'
_symmetry_Int_Tables_number 1
loop_
_symmetry_equiv_pos_as_xyz
'x,y,z'
loop_
_atom_site_label
_atom_site_type_symbol
_atom_site_fract_x
_atom_site_fract_y
_atom_site_fract_z
Te1 Te 0.500 0.500 0.500
Au1 Au 0.250 0.250 0.250
Au2 Au 0.750 0.750 0.750
Cd1 Cd 0.000 0.000 0.000
```

Computed properties:
energy above the most stable polymorph in this dataset = 173.9 meV/atom
space group = Fm-3m, No. 225
uncorrected formation energy = 41 kJ/mol of formula units


> What is the formula in the sixth record?

Sr3Te4O11